(A)
SnIN2F: relaxed, PBE-GGA.

The structure in POSCAR format:
```
SnIN2F
1.0
4.221 0.000 0.000
0.000 4.221 0.000
0.000 0.000 4.526
Sn I N F
1 1 2 1
Cartesian
0.000 0.000 0.000
2.111 2.111 2.263
0.000 2.111 2.263
2.111 0.000 2.263
2.111 2.111 0.000
```

symmetry = P4/mmm

(B)
SnIN2F: relaxed, PBE-GGA.

The structure in POSCAR format:
```
SnIN2F
1.0
4.272 0.000 0.000
0.000 4.272 0.000
0.000 0.000 4.150
Sn I N F
1 1 2 1
Cartesian
0.000 0.000 0.000
2.136 2.136 2.075
0.000 2.136 0.000
2.136 0.000 0.000
0.000 0.000 2.075
```

symmetry = P4/mmm

(C)
SnIN2F: relaxed, PBE-GGA.

The structure in POSCAR format:
```
SnIN2F
1.0
4.848 0.000 0.000
0.000 4.848 0.000
0.000 0.000 4.354
Sn I N F
1 1 2 1
Cartesian
0.000 0.000 0.000
2.424 2.424 0.000
0.000 2.424 2.177
2.424 0.000 2.177
2.424 2.424 2.177
```

symmetry = P4/mmm

Least stable of them? (C).

(A)
SnI2NF: relaxed, PBE-GGA.

The structure in POSCAR format:
```
SnI2NF
1.0
5.920 0.000 0.000
0.000 5.920 0.000
0.000 0.000 4.051
Sn I N F
1 2 1 1
Cartesian
0.000 0.000 0.000
0.000 2.960 0.000
2.960 0.000 0.000
0.000 0.000 2.025
2.960 2.960 2.025
```

symmetry = P4/mmm

(B)
SnI2NF: relaxed, PBE-GGA.

The structure in POSCAR format:
```
SnI2NF
1.0
6.181 0.000 0.000
0.000 6.181 0.000
0.000 0.000 3.584
Sn I N F
1 2 1 1
Cartesian
0.000 0.000 0.000
0.000 3.091 1.792
3.091 0.000 1.792
3.091 3.091 0.000
3.091 3.091 1.792
```

symmetry = P4/mmm

Least stable of them? (B).

(A)
SrI2NF: relaxed, PBE-GGA.

The structure in POSCAR format:
```
SrI2NF
1.0
6.433 0.000 0.000
0.000 6.433 0.000
0.000 0.000 5.118
Sr I N F
1 2 1 1
Cartesian
0.000 0.000 0.000
0.000 3.216 0.000
3.216 0.000 0.000
0.000 0.000 2.559
3.216 3.216 2.559
```

symmetry = P4/mmm

(B)
SrI2NF: relaxed, PBE-GGA.

The structure in POSCAR format:
```
SrI2NF
1.0
5.868 0.000 0.000
0.000 5.868 0.000
0.000 0.000 4.055
Sr I N F
1 2 1 1
Cartesian
0.000 0.000 0.000
0.000 2.934 2.028
2.934 0.000 2.028
2.934 2.934 0.000
2.934 2.934 2.028
```

symmetry = P4/mmm

Least stable of them? (A).

(A)
TaINF2: relaxed, PBE-GGA.

The structure in POSCAR format:
```
TaINF2
1.0
4.260 0.000 0.000
0.000 4.260 0.000
0.000 0.000 4.137
Ta I N F
1 1 1 2
Cartesian
0.000 0.000 0.000
2.130 2.130 2.068
0.000 0.000 2.068
0.000 2.130 0.000
2.130 0.000 0.000
```

symmetry = P4/mmm

(B)
TaINF2: relaxed, PBE-GGA.

The structure in POSCAR format:
```
TaINF2
1.0
4.768 0.000 0.000
0.000 4.768 0.000
0.000 0.000 4.078
Ta I N F
1 1 1 2
Cartesian
0.000 0.000 0.000
2.384 2.384 2.039
2.384 2.384 0.000
0.000 2.384 2.039
2.384 0.000 2.039
```

symmetry = P4/mmm

Least stable of them? (B).

(A)
TaIN2F: relaxed, PBE-GGA.

The structure in POSCAR format:
```
TaIN2F
1.0
4.176 0.000 0.000
0.000 4.176 0.000
0.000 0.000 4.169
Ta I N F
1 1 2 1
Cartesian
0.000 0.000 0.000
2.088 2.088 2.085
0.000 2.088 0.000
2.088 0.000 0.000
0.000 0.000 2.085
```

symmetry = P4/mmm

(B)
TaIN2F: relaxed, PBE-GGA.

The structure in POSCAR format:
```
TaIN2F
1.0
4.264 0.000 0.000
0.000 4.264 0.000
0.000 0.000 4.210
Ta I N F
1 1 2 1
Cartesian
0.000 0.000 0.000
2.132 2.132 2.105
0.000 2.132 2.105
2.132 0.000 2.105
2.132 2.132 0.000
```

symmetry = P4/mmm

(C)
TaIN2F: relaxed, PBE-GGA.

The structure in POSCAR format:
```
TaIN2F
1.0
4.190 0.000 0.000
0.000 4.190 0.000
0.000 0.000 4.055
Ta I N F
1 1 2 1
Cartesian
0.000 0.000 0.000
2.095 2.095 0.000
0.000 2.095 2.028
2.095 0.000 2.028
2.095 2.095 2.028
```

symmetry = P4/mmm

(D)
TaIN2F: relaxed, PBE-GGA.

The structure in POSCAR format:
```
TaIN2F
1.0
3.973 0.000 0.000
0.000 3.973 0.000
0.000 0.000 5.820
Ta I N F
1 1 2 1
Cartesian
0.000 0.000 0.000
0.000 0.000 2.910
0.000 1.987 0.000
1.987 0.000 0.000
1.987 1.987 2.910
```

symmetry = P4/mmm

Least stable of them? (C).

(A)
TcINF2: relaxed, PBE-GGA.

The structure in POSCAR format:
```
TcINF2
1.0
4.355 0.000 0.000
0.000 4.355 0.000
0.000 0.000 3.877
Tc I N F
1 1 1 2
Cartesian
0.000 0.000 0.000
2.177 2.177 1.939
0.000 0.000 1.939
0.000 2.177 0.000
2.177 0.000 0.000
```

symmetry = P4/mmm

(B)
TcINF2: relaxed, PBE-GGA.

The structure in POSCAR format:
```
TcINF2
1.0
4.838 0.000 0.000
0.000 4.838 0.000
0.000 0.000 4.057
Tc I N F
1 1 1 2
Cartesian
0.000 0.000 0.000
2.419 2.419 2.029
2.419 2.419 0.000
0.000 2.419 2.029
2.419 0.000 2.029
```

symmetry = P4/mmm

Least stable of them? (B).

(A)
TcIN2F: relaxed, PBE-GGA.

The structure in POSCAR format:
```
TcIN2F
1.0
4.000 0.000 0.000
0.000 4.000 0.000
0.000 0.000 4.259
Tc I N F
1 1 2 1
Cartesian
0.000 0.000 0.000
2.000 2.000 2.129
0.000 2.000 0.000
2.000 0.000 0.000
0.000 0.000 2.129
```

symmetry = P4/mmm

(B)
TcIN2F: relaxed, PBE-GGA.

The structure in POSCAR format:
```
TcIN2F
1.0
4.169 0.000 0.000
0.000 4.169 0.000
0.000 0.000 4.456
Tc I N F
1 1 2 1
Cartesian
0.000 0.000 0.000
2.084 2.084 2.228
0.000 2.084 2.228
2.084 0.000 2.228
2.084 2.084 0.000
```

symmetry = P4/mmm

(C)
TcIN2F: relaxed, PBE-GGA.

The structure in POSCAR format:
```
TcIN2F
1.0
3.813 0.000 0.000
0.000 3.813 0.000
0.000 0.000 5.655
Tc I N F
1 1 2 1
Cartesian
0.000 0.000 0.000
0.000 0.000 2.827
0.000 1.907 0.000
1.907 0.000 0.000
1.907 1.907 2.827
```

symmetry = P4/mmm

Least stable of them? (B).

(A)
TlINF2: relaxed, PBE-GGA.

The structure in POSCAR format:
```
TlINF2
1.0
4.967 0.000 0.000
0.000 4.967 0.000
0.000 0.000 4.029
Tl I N F
1 1 1 2
Cartesian
0.000 0.000 0.000
2.483 2.483 2.014
2.483 2.483 0.000
0.000 2.483 2.014
2.483 0.000 2.014
```

symmetry = P4/mmm

(B)
TlINF2: relaxed, PBE-GGA.

The structure in POSCAR format:
```
TlINF2
1.0
4.340 0.000 0.000
0.000 4.340 0.000
0.000 0.000 4.841
Tl I N F
1 1 1 2
Cartesian
0.000 0.000 0.000
2.170 2.170 2.420
0.000 0.000 2.420
0.000 2.170 0.000
2.170 0.000 0.000
```

symmetry = P4/mmm

Least stable of them? (B).